# 1
A plane-wave DFT calculation with PBE was carried out for an optimized crystal structure of NaSmCdSe3.

Summary:
E_tot ... -4.154 eV per atom

Cell: 8.283 4.255 10.386 Å, 90.00 104.91 90.00°
Space group P2_1/m (No. 11)
Unique sites:
Na: 0.197 0.250 0.179 x2
Sm: 0.323 0.750 0.857 x2
Cd: 0.079 0.250 0.607 x2
Se: 0.074 0.250 0.861 x2
Se: 0.247 0.750 0.551 x2
Se: 0.438 0.750 0.147 x2


# 2
A plane-wave DFT calculation with PBE was carried out for an optimized crystal structure of LiTbCoSe3.

Summary:
E_tot ... -5.066 eV per atom

Cell: 3.896 12.784 10.734 Å, 90.00 90.00 90.00°
Space group Cmcm (No. 63)
Unique sites:
Li: 0.000 0.218 0.250 x4
Tb: 0.000 0.000 0.000 x4
Co: 0.000 0.480 0.750 x4
Se: 0.000 0.090 0.750 x4
Se: 0.000 0.355 0.585 x8


# 3
A plane-wave DFT calculation with PBE was carried out for an optimized crystal structure of Zr2Si4Ni3.

Summary:
E_tot ... -6.962 eV per atom

Cell: 5.206 13.785 6.891 Å, 90.00 90.00 90.00°
Space group Cmce (No. 64)
Unique sites:
Zr: 0.000 0.104 0.098 x8
Si: 0.000 0.182 0.477 x8
Si: 0.250 0.061 0.750 x8
Ni: 0.000 0.000 0.500 x4
Ni: 0.250 0.227 0.750 x8


# 4
A plane-wave DFT calculation with PBE was carried out for an optimized crystal structure of LaPr2In3CuPt2.

Summary:
E_tot ... -5.077 eV per atom

Cell: 4.024 13.519 7.850 Å, 90.00 90.00 90.00°
Space group Amm2 (No. 38)
Unique sites:
La: 0.000 0.000 0.000 x2
Pr: 0.000 0.207 0.375 x4
In: 0.500 0.000 0.340 x2
In: 0.500 0.124 0.705 x4
Cu: 0.000 0.000 0.584 x2
Pt: 0.500 0.165 0.082 x4


# 5
A plane-wave DFT calculation with PBE was carried out for an optimized crystal structure of MgNi.

Summary:
E_tot ... -3.603 eV per atom

Cell: 5.703 4.643 4.371 Å, 90.00 90.00 90.00°
Space group Pbcm (No. 57)
Unique sites:
Mg: 0.166 0.050 0.250 x4
Ni: 0.393 0.585 0.250 x4


# 6
A plane-wave DFT calculation with PBE was carried out for an optimized crystal structure of Ho2Lu2In.

Summary:
E_tot ... -4.172 eV per atom

Cell: 8.009 8.009 4.590 Å, 90.00 90.00 90.00°
Space group P4/mbm (No. 127)
Unique sites:
Ho: 0.153 0.347 0.000 x4
Lu: 0.147 0.647 0.500 x4
In: 0.000 0.000 0.500 x2